Run 1
ZrZn2Re | GGA-PBE | relaxed

Cell: 3.865 3.865 19.456 Å, 90.00 90.00 90.00°
Space group I-42d (No. 122)
Unique sites:
Zr 0.000 0.000 0.000 x4
Zn 0.206 0.250 0.625 x8
Re 0.000 0.000 0.500 x4

Summary:
- Calculated volume: 18.16 Å³/atom

Run 2
ZrZn2Re | GGA-PBE | relaxed

Cell: 3.966 3.966 8.227 Å, 90.00 90.00 90.00°
Space group I4/mmm (No. 139)
Unique sites:
Zr 0.000 0.000 0.000 x2
Zn 0.000 0.500 0.250 x4
Re 0.000 0.000 0.500 x2

Summary:
- Calculated volume: 16.17 Å³/atom

Which structure loses on stability? run 1 does.

Run 1
ZrZn2Re | GGA-PBE | relaxed

Cell: 5.503 8.678 2.741 Å, 90.00 96.83 90.00°
Space group C2/m (No. 12)
Unique sites:
Zr 0.000 0.000 0.000 x2
Zn 0.250 0.250 0.500 x4
Re 0.000 0.500 0.000 x2

Summary:
- Calculated volume: 16.24 Å³/atom

Run 2
ZrZn2Re | GGA-PBE | relaxed

Cell: 9.954 2.731 4.956 Å, 90.00 106.26 90.00°
Space group Cm (No. 8)
Unique sites:
Zr 0.000 0.000 0.000 x2
Zn 0.018 0.500 0.503 x2
Zn 0.239 0.000 0.773 x2
Re 0.273 0.500 0.300 x2

Summary:
- Calculated volume: 16.17 Å³/atom

Which structure loses on stability? run 2 does.

Run 1
ZrZn2Re | GGA-PBE | relaxed

Cell: 2.8441 2.8441 28.6613 Å, 90.00 90.00 120.00°
Space group R3m (No. 160, hexagonal axes)
Unique sites:
Zr 0.0000 0.0000 0.0000 x3
Zn 0.0000 0.0000 0.2452 x3
Zn 0.0000 0.0000 0.4995 x3
Re 0.0000 0.0000 0.7563 x3

Summary:
- Calculated volume: 16.73 Å³/atom

Run 2
ZrZn2Re | GGA-PBE | relaxed

Cell: 3.498 4.422 8.424 Å, 90.00 90.00 90.00°
Space group Imm2 (No. 44)
Unique sites:
Zr 0.000 0.000 0.000 x2
Zn 0.000 0.000 0.514 x2
Zn 0.000 0.500 0.236 x2
Re 0.000 0.500 0.764 x2

Summary:
- Calculated volume: 16.29 Å³/atom

Which structure loses on stability? run 1 does.

Run 1
ZrZn3Re | GGA-PBE | relaxed

Cell: 4.699 4.699 4.699 Å, 90.00 90.00 90.00°
Space group Pm-3m (No. 221)
Unique sites:
Zr 0.000 0.000 0.000 x1
Zn 0.000 0.500 0.500 x3
Re 0.500 0.500 0.500 x1

Summary:
- Calculated volume: 20.75 Å³/atom

Run 2
ZrZn3Re | GGA-PBE | relaxed

Cell: 5.048 5.048 5.048 Å, 90.00 90.00 90.00°
Space group Pm-3m (No. 221)
Unique sites:
Zr 0.000 0.000 0.000 x1
Zn 0.000 0.000 0.500 x3
Re 0.500 0.500 0.500 x1

Summary:
- Calculated volume: 25.73 Å³/atom

Which structure loses on stability? run 2 does.